Arrangement A

HoTm2Th | PBE | optimized geometry

Cell lengths 3.5389, 3.5389, 34.1646 Å; angles 90.00, 90.00, 120.00 degrees
Space group R-3m (No. 166, hexagonal axes)
One atom of each set of equivalent atoms:
Ho 0.0000 0.0000 0.0000
Tm 0.0000 0.0000 0.2490
Th 0.0000 0.0000 0.5000

Summary:
Crystal system: trigonal

***

Arrangement B

HoTm2Th | PBE | optimized geometry

Cell lengths 4.990, 4.990, 4.953 Å; angles 90.00, 90.00, 90.00 degrees
Space group P4/mmm (No. 123)
One atom of each set of equivalent atoms:
Ho 0.000 0.000 0.000
Tm 0.000 0.500 0.500
Th 0.500 0.500 0.000

Summary:
Crystal system: tetragonal

***

Arrangement C

HoTm2Th | PBE | optimized geometry

Cell lengths 7.937, 7.937, 7.937 Å; angles 90.00, 90.00, 90.00 degrees
Space group Fm-3m (No. 225)
One atom of each set of equivalent atoms:
Ho 0.000 0.000 0.000
Tm 0.250 0.250 0.250
Th 0.000 0.000 0.500

Summary:
Crystal system: cubic

***

Arrangement D

HoTm2Th | PBE | optimized geometry

Cell lengths 3.527, 6.689, 10.956 Å; angles 90.50, 90.01, 105.18 degrees
Space group P-1 (No. 2)
One atom of each set of equivalent atoms:
Ho 0.131 0.261 0.483
Tm 0.252 0.505 0.752
Tm 0.480 0.960 0.255
Th 0.129 0.256 0.018

Summary:
Crystal system: triclinic

***

Energy above the most stable structure, in meV per atom: arrangement A 0; arrangement B 11; arrangement C 103; arrangement D 6

***

Arrangement A

HoTm2Th | PBE | optimized geometry

Cell lengths 3.524, 3.524, 9.992 Å; angles 90.00, 90.00, 90.00 degrees
Space group P4/mmm (No. 123)
One atom of each set of equivalent atoms:
Ho 0.000 0.000 0.000
Tm 0.500 0.500 0.253
Th 0.000 0.000 0.500

Summary:
Crystal system: tetragonal

***

Arrangement B

HoTm2Th | PBE | optimized geometry

Cell lengths 3.5323, 3.5323, 34.3620 Å; angles 90.00, 90.00, 120.00 degrees
Space group R3m (No. 160, hexagonal axes)
One atom of each set of equivalent atoms:
Ho 0.0000 0.0000 0.0000
Tm 0.0000 0.0000 0.4156
Tm 0.0000 0.0000 0.5840
Th 0.0000 0.0000 0.1656

Summary:
Crystal system: trigonal

***

Energy above the most stable structure, in meV per atom: arrangement A 0; arrangement B 11

***

Arrangement A

Ho4Tm3Th | PBE | optimized geometry

Cell lengths 11.224, 7.181, 6.196 Å; angles 90.00, 90.00, 90.00 degrees
Space group Pmn2_1 (No. 31)
One atom of each set of equivalent atoms:
Ho 0.000 0.126 0.000
Ho 0.000 0.871 0.503
Ho 0.250 0.127 0.342
Tm 0.000 0.378 0.502
Tm 0.249 0.378 0.833
Th 0.000 0.624 0.003

Summary:
Crystal system: orthorhombic

***

Arrangement B

Ho4Tm3Th | PBE | optimized geometry

Cell lengths 23.176, 3.429, 6.633 Å; angles 90.00, 106.61, 90.00 degrees
Space group C2/m (No. 12)
One atom of each set of equivalent atoms:
Ho 0.124 0.000 0.366
Ho 0.241 0.500 0.239
Tm 0.000 0.000 0.500
Tm 0.124 0.000 0.884
Th 0.000 0.500 0.000

Summary:
Crystal system: monoclinic

***

Energy above the most stable structure, in meV per atom: arrangement A 0; arrangement B 162

***

Arrangement A

Ho7Tm4Th | PBE | optimized geometry

Cell lengths 6.698, 6.905, 8.603 Å; angles 79.45, 76.76, 76.24 degrees
Space group P-1 (No. 2)
One atom of each set of equivalent atoms:
Ho 0.000 0.000 0.000
Ho 0.179 0.608 0.367
Ho 0.323 0.236 0.671
Ho 0.480 0.750 0.025
Tm 0.186 0.109 0.336
Tm 0.341 0.731 0.684
Th 0.000 0.500 0.000

Summary:
Crystal system: triclinic

***

Arrangement B

Ho7Tm4Th | PBE | optimized geometry

Cell lengths 5.5581, 5.5581, 13.7903 Å; angles 90.00, 90.00, 120.00 degrees
Space group P-3m1 (No. 164)
One atom of each set of equivalent atoms:
Ho 0.0000 0.0000 0.0000
Ho 0.0000 0.0000 0.2511
Ho 0.3333 0.6667 0.1260
Ho 0.3333 0.6667 0.3738
Tm 0.3333 0.6667 0.6260
Tm 0.3333 0.6667 0.8744
Th 0.0000 0.0000 0.5000

Summary:
Crystal system: trigonal

***

Energy above the most stable structure, in meV per atom: arrangement A 21; arrangement B 0

***

Arrangement A

HoTm3Th4 | PBE | optimized geometry

Cell lengths 11.588, 7.078, 6.181 Å; angles 90.00, 90.00, 90.00 degrees
Space group Pmn2_1 (No. 31)
One atom of each set of equivalent atoms:
Ho 0.000 0.127 0.000
Tm 0.000 0.874 0.501
Tm 0.250 0.126 0.342
Th 0.000 0.381 0.507
Th 0.000 0.622 0.007
Th 0.250 0.380 0.835

Summary:
Crystal system: orthorhombic

***

Arrangement B

HoTm3Th4 | PBE | optimized geometry

Cell lengths 3.409, 11.294, 13.135 Å; angles 90.00, 90.00, 90.00 degrees
Space group Immm (No. 71)
One atom of each set of equivalent atoms:
Ho 0.000 0.000 0.000
Tm 0.000 0.000 0.500
Tm 0.000 0.500 0.266
Th 0.000 0.253 0.130

Summary:
Crystal system: orthorhombic

***

Energy above the most stable structure, in meV per atom: arrangement A 0; arrangement B 90

***

Arrangement A

Ho4TmTh | PBE | optimized geometry

Cell lengths 11.517, 11.750, 3.390 Å; angles 90.00, 90.00, 90.00 degrees
Space group Cmmm (No. 65)
One atom of each set of equivalent atoms:
Ho 0.000 0.230 0.000
Ho 0.239 0.500 0.500
Tm 0.000 0.000 0.500
Th 0.000 0.500 0.000

Summary:
Crystal system: orthorhombic

***

Arrangement B

Ho4TmTh | PBE | optimized geometry

Cell lengths 3.564, 18.364, 11.389 Å; angles 90.00, 90.00, 90.00 degrees
Space group Cmc2_1 (No. 36)
One atom of each set of equivalent atoms:
Ho 0.000 0.002 0.000
Ho 0.000 0.113 0.753
Ho 0.000 0.331 0.996
Ho 0.000 0.444 0.747
Tm 0.000 0.222 0.246
Th 0.000 0.333 0.499

Summary:
Crystal system: orthorhombic

***

Energy above the most stable structure, in meV per atom: arrangement A 755; arrangement B 0

***

Arrangement A

Ho4Tm5Th2 | PBE | optimized geometry

Cell lengths 3.506, 8.758, 11.108 Å; angles 89.05, 89.45, 89.72 degrees
Space group P-1 (No. 2)
One atom of each set of equivalent atoms:
Ho 0.214 0.085 0.239
Ho 0.248 0.268 0.704
Tm 0.233 0.642 0.586
Tm 0.256 0.820 0.021
Tm 0.500 0.000 0.500
Th 0.250 0.455 0.138

Summary:
Crystal system: triclinic

***

Arrangement B

Ho4Tm5Th2 | PBE | optimized geometry

Cell lengths 3.431, 11.414, 18.184 Å; angles 90.00, 90.00, 90.00 degrees
Space group Immm (No. 71)
One atom of each set of equivalent atoms:
Ho 0.000 0.000 0.091
Ho 0.000 0.274 0.500
Tm 0.000 0.290 0.321
Tm 0.000 0.500 0.000
Th 0.000 0.000 0.296

Summary:
Crystal system: orthorhombic

***

Energy above the most stable structure, in meV per atom: arrangement A 0; arrangement B 202

***

Arrangement A

Ho12Tm6Th | PBE | optimized geometry

Cell lengths 13.2315, 13.2315, 12.0873 Å; angles 90.00, 90.00, 120.00 degrees
Space group R-3m (No. 166, hexagonal axes)
One atom of each set of equivalent atoms:
Ho 0.0000 0.2565 0.0000
Ho 0.0898 0.1797 0.7558
Tm 0.0392 0.5196 0.1267
Th 0.0000 0.0000 0.5000

Summary:
Crystal system: trigonal

***

Arrangement B

Ho12Tm6Th | PBE | optimized geometry

Cell lengths 11.7800, 11.7800, 15.0171 Å; angles 90.00, 90.00, 120.00 degrees
Space group R-3 (No. 148, hexagonal axes)
One atom of each set of equivalent atoms:
Ho 0.0189 0.8381 0.1895
Ho 0.0427 0.8525 0.4148
Tm 0.0107 0.4244 0.6790
Th 0.0000 0.0000 0.0000

Summary:
Crystal system: trigonal

***

Energy above the most stable structure, in meV per atom: arrangement A 71; arrangement B 0

***

Arrangement A

Ho5Tm5Th2 | PBE | optimized geometry

Cell lengths 16.895, 5.561, 9.673 Å; angles 90.00, 124.76, 90.00 degrees
Space group C2/m (No. 12)
One atom of each set of equivalent atoms:
Ho 0.000 0.000 0.000
Ho 0.127 0.000 0.455
Ho 0.250 0.000 0.248
Tm 0.000 0.500 0.500
Tm 0.125 0.500 0.958
Tm 0.126 0.500 0.292
Th 0.121 0.000 0.779

Summary:
Crystal system: monoclinic

***

Arrangement B

Ho5Tm5Th2 | PBE | optimized geometry

Cell lengths 14.954, 5.001, 11.102 Å; angles 90.00, 116.66, 90.00 degrees
Space group C2/m (No. 12)
One atom of each set of equivalent atoms:
Ho 0.000 0.000 0.000
Ho 0.085 0.000 0.753
Ho 0.168 0.000 0.501
Tm 0.000 0.500 0.500
Tm 0.084 0.500 0.250
Tm 0.250 0.000 0.247
Th 0.168 0.500 0.000

Summary:
Crystal system: monoclinic

***

Energy above the most stable structure, in meV per atom: arrangement A 77; arrangement B 0

***

Arrangement A

Ho2Tm2Th3 | PBE | optimized geometry

Cell lengths 7.478, 6.297, 11.746 Å; angles 90.00, 126.47, 90.00 degrees
Space group P2_1/c (No. 14)
One atom of each set of equivalent atoms:
Ho 0.106 0.164 0.320
Tm 0.390 0.727 0.462
Th 0.000 0.000 0.000
Th 0.335 0.028 0.672

Summary:
Crystal system: monoclinic

***

Arrangement B

Ho2Tm2Th3 | PBE | optimized geometry

Cell lengths 17.321, 3.456, 8.390 Å; angles 90.00, 117.32, 90.00 degrees
Space group C2/m (No. 12)
One atom of each set of equivalent atoms:
Ho 0.069 0.000 0.405
Tm 0.147 0.500 0.832
Th 0.000 0.500 0.000
Th 0.213 0.500 0.293

Summary:
Crystal system: monoclinic

***

Energy above the most stable structure, in meV per atom: arrangement A 86; arrangement B 0